1.
First-principles (GGA-PBE) data for SrEu2Mg after structural relaxation, as listed in Alexandria.

Cell lengths 5.651, 5.332, 5.332 Å; angles 90.00, 90.00, 90.00 degrees
Each line ends with the local moment (μB).
Atoms (fractional coordinates):
Eu 0.000 0.000 0.500  7.01
Eu 0.000 0.500 0.000  7.01
Sr 0.500 0.500 0.500  0.08
Mg 0.500 0.000 0.000  0.02

Results
Calculated formation energy, eV per atom: 0.0370
SG: P4/mmm
DOS at the Fermi energy, states/eV/cell: 3.84
Offset from the most stable computed form, meV per atom: 57


2.
First-principles (GGA-PBE) data for Sr2EuMg after structural relaxation, as listed in Alexandria.

Cell lengths 4.111, 4.111, 10.325 Å; angles 90.00, 90.00, 90.00 degrees
Each line ends with the local moment (μB).
Atoms (fractional coordinates):
Sr 0.000 0.000 0.207  -0.03
Sr 0.000 0.000 0.793  -0.03
Eu 0.500 0.500 0.500  -7.00
Mg 0.500 0.500 0.000  0.00

Results
Calculated formation energy, eV per atom: 0.0082
SG: P4/mmm
DOS at the Fermi energy, states/eV/cell: 4.95
Offset from the most stable computed form, meV per atom: 0


3.
First-principles (GGA-PBE) data for Sr2EuMg after structural relaxation, as listed in Alexandria.

Cell lengths 3.975, 3.975, 14.010 Å; angles 81.84, 81.84, 60.00 degrees
Each line ends with the local moment (μB).
Atoms (fractional coordinates):
Sr 0.915 0.915 0.256  0.00
Sr 0.085 0.085 0.744  0.00
Eu 0.500 0.500 0.500  6.99
Mg 0.000 0.000 0.000  0.01

Results
Calculated formation energy, eV per atom: 0.2654
SG: R-3m
DOS at the Fermi energy, states/eV/cell: 4.59
Offset from the most stable computed form, meV per atom: 257